DFT (GGA-PBE) results for a geometry-optimized Tb2PmPrN4 structure.

a = 3.576 Å, b = 6.190 Å, c = 6.196 Å
α = 109.41°, β = 90.00°, γ = 90.00°
Fractional coordinates of all 8 atoms:
Tb: 0.000 0.500 0.500
Tb: 0.500 0.000 0.500
N: 0.500 0.749 0.741
N: 0.500 0.251 0.259
N: 0.000 0.756 0.260
N: 0.000 0.244 0.740
Pm: 0.000 0.000 0.000
Pr: 0.500 0.500 0.000

Computed properties:
**Density**: 8.47 g/cm³
**Energy relative to the elements, uncorrected**: -1.495 eV per atom
**Symmetry**: P2/m
**E**: -8.01 eV/atom



DFT (GGA-PBE) results for a geometry-optimized TbPmPrN3 structure.

a = 3.577 Å, b = 6.169 Å, c = 9.275 Å
α = 101.70°, β = 90.00°, γ = 90.00°
Fractional coordinates of all 12 atoms:
Tb: 0.750 0.850 0.361
Tb: 0.250 0.150 0.639
Pr: 0.250 0.346 0.304
Pr: 0.750 0.654 0.696
N: 0.250 0.964 0.843
N: 0.750 0.539 0.174
N: 0.750 0.245 0.510
N: 0.750 0.036 0.157
N: 0.250 0.461 0.826
N: 0.250 0.755 0.490
Pm: 0.750 0.230 0.954
Pm: 0.250 0.770 0.046

Computed properties:
**Density**: 8.07 g/cm³
**Energy relative to the elements, uncorrected**: -1.309 eV per atom
**Symmetry**: P2_1/m
**E**: -7.83 eV/atom



DFT (GGA-PBE) results for a geometry-optimized PmPr2Tc2N6 structure.

a = 5.797 Å, b = 5.797 Å, c = 6.972 Å
α = 65.44°, β = 65.44°, γ = 60.00°
Fractional coordinates of all 11 atoms:
Pr: 0.208 0.208 0.375
Pr: 0.792 0.792 0.625
Pm: 0.000 0.000 0.000
Tc: 0.403 0.403 0.791
Tc: 0.597 0.597 0.209
N: 0.226 0.738 0.298
N: 0.262 0.774 0.702
N: 0.738 0.738 0.298
N: 0.262 0.262 0.702
N: 0.774 0.262 0.702
N: 0.738 0.226 0.298

Computed properties:
**Density**: 6.59 g/cm³
**Energy relative to the elements, uncorrected**: -0.605 eV per atom
**Symmetry**: R-3m
**E**: -8.33 eV/atom



DFT (GGA-PBE) results for a geometry-optimized PmPrTcN4 structure.

a = 3.879 Å, b = 3.879 Å, c = 6.927 Å
α = 106.26°, β = 106.26°, γ = 90.00°
Fractional coordinates of all 7 atoms:
N: 0.999 0.499 0.998
N: 0.169 0.169 0.338
N: 0.833 0.833 0.667
N: 0.499 0.999 0.998
Pm: 0.354 0.354 0.707
Pr: 0.647 0.647 0.294
Tc: 0.999 0.999 0.998

Computed properties:
**Density**: 7.63 g/cm³
**Energy relative to the elements, uncorrected**: -0.757 eV per atom
**Symmetry**: I4mm
**E**: -8.36 eV/atom



DFT (GGA-PBE) results for a geometry-optimized Pm2PrTcN4 structure.

a = 3.533 Å, b = 6.263 Å, c = 11.966 Å
α = 90.00°, β = 90.00°, γ = 106.38°
Fractional coordinates of all 16 atoms:
Pr: 0.879 0.759 0.250
Pr: 0.121 0.241 0.750
N: 0.266 0.533 0.133
N: 0.000 0.000 0.500
N: 0.569 0.139 0.250
N: 0.734 0.467 0.633
N: 0.000 0.000 0.000
N: 0.734 0.467 0.867
N: 0.431 0.861 0.750
N: 0.266 0.533 0.367
Tc: 0.146 0.293 0.250
Tc: 0.854 0.707 0.750
Pm: 0.632 0.264 0.460
Pm: 0.368 0.736 0.540
Pm: 0.368 0.736 0.960
Pm: 0.632 0.264 0.040

Computed properties:
**Density**: 7.65 g/cm³
**Energy relative to the elements, uncorrected**: -0.948 eV per atom
**Symmetry**: Cmcm
**E**: -8.19 eV/atom



DFT (GGA-PBE) results for a geometry-optimized Pm2Pr4Te3N2 structure.

a = 4.767 Å, b = 4.767 Å, c = 13.736 Å
α = 99.99°, β = 99.99°, γ = 90.00°
Fractional coordinates of all 11 atoms:
Pm: 0.694 0.694 0.389
Pm: 0.306 0.306 0.611
Te: 0.000 0.000 0.000
Te: 0.179 0.179 0.359
Te: 0.821 0.821 0.641
Pr: 0.583 0.083 0.166
Pr: 0.083 0.583 0.166
Pr: 0.917 0.417 0.834
Pr: 0.417 0.917 0.834
N: 0.390 0.390 0.780
N: 0.610 0.610 0.220

Computed properties:
**Density**: 6.94 g/cm³
**Energy relative to the elements, uncorrected**: -1.153 eV per atom
**Symmetry**: I4/mmm
**E**: -6.13 eV/atom



DFT (GGA-PBE) results for a geometry-optimized PmPrTeN structure.

a = 3.896 Å, b = 3.935 Å, c = 7.269 Å
α = 105.70°, β = 105.55°, γ = 90.00°
Last column: magnetic moment on the atom in μB.
Fractional coordinates of all 4 atoms:
Pm: 0.972 0.430 0.944  0.20
Pr: 0.670 0.128 0.340  0.20
Te: 0.324 0.782 0.647  0.00
N: 0.569 0.528 0.139  -0.01

Computed properties:
**Density**: 6.89 g/cm³
**Energy relative to the elements, uncorrected**: -1.302 eV per atom
**Symmetry**: Imm2
**E**: -6.55 eV/atom



DFT (GGA-PBE) results for a geometry-optimized PmPr4Th3N8 structure.

a = 7.343 Å, b = 7.341 Å, c = 7.344 Å
α = 120.01°, β = 120.00°, γ = 90.00°
Fractional coordinates of all 16 atoms:
Pr: 0.500 0.000 0.000
Pr: 0.000 0.000 0.500
Pr: 0.000 0.000 0.000
Pr: 0.500 0.000 0.500
N: 0.752 0.265 0.013
N: 0.256 0.267 0.512
N: 0.739 0.735 0.987
N: 0.752 0.265 0.504
N: 0.248 0.735 0.987
N: 0.248 0.735 0.496
N: 0.744 0.733 0.488
N: 0.261 0.265 0.013
Th: 0.500 0.500 0.500
Th: 0.000 0.500 0.500
Th: 0.500 0.500 0.000
Pm: 0.000 0.500 0.000

Computed properties:
**Density**: 9.00 g/cm³
**Energy relative to the elements, uncorrected**: -1.481 eV per atom
**Symmetry**: R-3m
**E**: -8.53 eV/atom



DFT (GGA-PBE) results for a geometry-optimized Pm3PrTh2N6 structure.

a = 3.652 Å, b = 7.284 Å, c = 8.135 Å
α = 102.78°, β = 102.97°, γ = 90.00°
Fractional coordinates of all 12 atoms:
Th: 0.166 0.331 0.331
Th: 0.834 0.669 0.669
N: 0.669 0.576 0.338
N: 0.331 0.424 0.662
N: 0.331 0.907 0.663
N: 0.996 0.743 0.991
N: 0.004 0.257 0.009
N: 0.669 0.093 0.337
Pm: 0.835 0.165 0.669
Pm: 0.165 0.835 0.331
Pm: 0.500 0.500 0.000
Pr: 0.500 0.000 0.000

Computed properties:
**Density**: 9.09 g/cm³
**Energy relative to the elements, uncorrected**: -1.504 eV per atom
**Symmetry**: C2/m
**E**: -8.49 eV/atom



DFT (GGA-PBE) results for a geometry-optimized PmPr2ThN4 structure.

a = 3.669 Å, b = 6.333 Å, c = 6.347 Å
α = 109.34°, β = 90.00°, γ = 90.00°
Fractional coordinates of all 8 atoms:
N: 0.500 0.747 0.761
N: 0.000 0.740 0.236
N: 0.000 0.260 0.764
N: 0.500 0.253 0.239
Pr: 0.000 0.500 0.500
Pr: 0.500 0.000 0.500
Th: 0.500 0.500 0.000
Pm: 0.000 0.000 0.000

Computed properties:
**Density**: 8.53 g/cm³
**Energy relative to the elements, uncorrected**: -1.453 eV per atom
**Symmetry**: P2/m
**E**: -8.33 eV/atom



DFT (GGA-PBE) results for a geometry-optimized PmPrTh2N4 structure.

a = 3.668 Å, b = 6.325 Å, c = 6.346 Å
α = 70.47°, β = 90.00°, γ = 90.00°
Fractional coordinates of all 8 atoms:
N: 0.500 0.765 0.248
N: 0.500 0.235 0.752
N: 0.000 0.767 0.742
N: 0.000 0.233 0.258
Pr: 0.500 0.500 0.000
Pm: 0.000 0.500 0.500
Th: 0.000 0.000 0.000
Th: 0.500 0.000 0.500

Computed properties:
**Density**: 9.64 g/cm³
**Energy relative to the elements, uncorrected**: -1.515 eV per atom
**Symmetry**: P2/m
**E**: -8.72 eV/atom



DFT (GGA-PBE) results for a geometry-optimized Pm3Pr2ThN6 structure.

a = 3.653 Å, b = 7.302 Å, c = 8.140 Å
α = 102.88°, β = 102.97°, γ = 90.00°
Fractional coordinates of all 12 atoms:
Pm: 0.168 0.832 0.335
Pm: 0.500 0.500 0.000
Pm: 0.832 0.168 0.665
N: 0.002 0.760 0.003
N: 0.665 0.587 0.330
N: 0.338 0.923 0.676
N: 0.998 0.240 0.997
N: 0.335 0.413 0.670
N: 0.662 0.077 0.324
Pr: 0.168 0.336 0.335
Pr: 0.832 0.664 0.665
Th: 0.500 0.000 0.000

Computed properties:
**Density**: 8.33 g/cm³
**Energy relative to the elements, uncorrected**: -1.449 eV per atom
**Symmetry**: C2/m
**E**: -8.21 eV/atom



DFT (GGA-PBE) results for a geometry-optimized PmPrTiN3 structure.

a = 3.626 Å, b = 7.475 Å, c = 7.785 Å
α = 97.17°, β = 90.00°, γ = 90.00°
Fractional coordinates of all 12 atoms:
N: 0.250 0.108 0.846
N: 0.750 0.161 0.520
N: 0.250 0.839 0.480
N: 0.250 0.606 0.865
N: 0.750 0.394 0.135
N: 0.750 0.892 0.154
Pr: 0.250 0.164 0.164
Pr: 0.750 0.836 0.836
Ti: 0.250 0.099 0.597
Ti: 0.750 0.901 0.403
Pm: 0.750 0.373 0.833
Pm: 0.250 0.627 0.167

Computed properties:
**Density**: 5.96 g/cm³
**Energy relative to the elements, uncorrected**: -1.240 eV per atom
**Symmetry**: P2_1/m
**E**: -8.31 eV/atom



DFT (GGA-PBE) results for a geometry-optimized Pm3Pr2UN6 structure.

a = 6.241 Å, b = 6.241 Å, c = 6.204 Å
α = 99.67°, β = 99.67°, γ = 119.97°
Fractional coordinates of all 12 atoms:
Pm: 0.500 0.500 0.500
Pm: 0.835 0.165 0.500
Pm: 0.165 0.835 0.500
U: 0.000 0.000 0.000
Pr: 0.334 0.666 0.000
Pr: 0.666 0.334 0.000
N: 0.779 0.779 0.236
N: 0.221 0.221 0.764
N: 0.625 0.922 0.767
N: 0.922 0.625 0.767
N: 0.078 0.375 0.233
N: 0.375 0.078 0.233

Computed properties:
**Density**: 8.75 g/cm³
**Energy relative to the elements, uncorrected**: -1.442 eV per atom
**Symmetry**: C2/m
**E**: -8.53 eV/atom



DFT (GGA-PBE) results for a geometry-optimized Pm2Pr3UN6 structure.

a = 6.230 Å, b = 6.230 Å, c = 6.263 Å
α = 99.56°, β = 99.56°, γ = 119.91°
Fractional coordinates of all 12 atoms:
N: 0.625 0.926 0.777
N: 0.773 0.773 0.227
N: 0.074 0.375 0.223
N: 0.926 0.625 0.777
N: 0.375 0.074 0.223
N: 0.227 0.227 0.773
U: 0.000 0.000 0.000
Pm: 0.334 0.666 0.000
Pm: 0.666 0.334 0.000
Pr: 0.833 0.167 0.500
Pr: 0.500 0.500 0.500
Pr: 0.167 0.833 0.500

Computed properties:
**Density**: 8.64 g/cm³
**Energy relative to the elements, uncorrected**: -1.431 eV per atom
**Symmetry**: C2/m
**E**: -8.52 eV/atom



DFT (GGA-PBE) results for a geometry-optimized PmPrVN3 structure.

a = 3.878 Å, b = 6.862 Å, c = 7.106 Å
α = 105.00°, β = 90.00°, γ = 106.41°
Fractional coordinates of all 12 atoms:
N: 0.156 0.311 0.824
N: 0.844 0.689 0.176
N: 0.843 0.687 0.668
N: 0.500 0.999 0.742
N: 0.500 0.001 0.258
N: 0.157 0.313 0.332
Pm: 0.647 0.294 0.573
Pm: 0.353 0.706 0.427
V: 0.000 0.000 0.740
V: 0.000 0.000 0.260
Pr: 0.645 0.290 0.073
Pr: 0.355 0.710 0.927

Computed properties:
**Density**: 7.20 g/cm³
**Energy relative to the elements, uncorrected**: -1.240 eV per atom
**Symmetry**: C2/m
**E**: -8.51 eV/atom



DFT (GGA-PBE) results for a geometry-optimized Pm2PrWN4 structure.

a = 3.493 Å, b = 6.318 Å, c = 12.325 Å
α = 90.00°, β = 90.00°, γ = 106.05°
Fractional coordinates of all 16 atoms:
Pm: 0.369 0.739 0.962
Pm: 0.631 0.261 0.462
Pm: 0.369 0.739 0.538
Pm: 0.631 0.261 0.038
N: 0.734 0.469 0.629
N: 0.573 0.146 0.250
N: 0.734 0.469 0.871
N: 0.000 0.000 0.000
N: 0.266 0.531 0.371
N: 0.427 0.854 0.750
N: 0.000 0.000 0.500
N: 0.266 0.531 0.129
W: 0.169 0.338 0.250
W: 0.831 0.662 0.750
Pr: 0.090 0.179 0.750
Pr: 0.910 0.821 0.250

Computed properties:
**Density**: 8.52 g/cm³
**Energy relative to the elements, uncorrected**: -0.987 eV per atom
**Symmetry**: Cmcm
**E**: -8.55 eV/atom



DFT (GGA-PBE) results for a geometry-optimized PmPr2WN4 structure.

a = 3.458 Å, b = 6.338 Å, c = 12.630 Å
α = 90.00°, β = 90.00°, γ = 105.83°
Fractional coordinates of all 16 atoms:
N: 0.271 0.543 0.365
N: 0.729 0.457 0.635
N: 0.729 0.457 0.865
N: 0.000 0.000 0.000
N: 0.569 0.137 0.250
N: 0.000 0.000 0.500
N: 0.431 0.863 0.750
N: 0.271 0.543 0.135
Pr: 0.368 0.737 0.962
Pr: 0.368 0.737 0.538
Pr: 0.632 0.263 0.038
Pr: 0.632 0.263 0.462
W: 0.827 0.654 0.750
W: 0.173 0.346 0.250
Pm: 0.913 0.827 0.250
Pm: 0.087 0.173 0.750

Computed properties:
**Density**: 8.31 g/cm³
**Energy relative to the elements, uncorrected**: -0.898 eV per atom
**Symmetry**: Cmcm
**E**: -8.47 eV/atom



DFT (GGA-PBE) results for a geometry-optimized Pm2PrYN4 structure.

a = 3.603 Å, b = 6.239 Å, c = 6.236 Å
α = 109.41°, β = 90.00°, γ = 90.00°
Fractional coordinates of all 8 atoms:
Y: 0.000 0.000 0.000
Pm: 0.000 0.500 0.500
Pm: 0.500 0.000 0.500
N: 0.500 0.244 0.247
N: 0.000 0.244 0.749
N: 0.500 0.756 0.753
N: 0.000 0.756 0.251
Pr: 0.500 0.500 0.000

Computed properties:
**Density**: 7.23 g/cm³
**Energy relative to the elements, uncorrected**: -1.443 eV per atom
**Symmetry**: P2/m
**E**: -8.20 eV/atom



DFT (GGA-PBE) results for a geometry-optimized PmPrY2N4 structure.

a = 3.567 Å, b = 6.175 Å, c = 6.181 Å
α = 109.41°, β = 90.00°, γ = 90.00°
Fractional coordinates of all 8 atoms:
Y: 0.500 0.000 0.500
Y: 0.000 0.500 0.500
N: 0.000 0.244 0.739
N: 0.500 0.251 0.259
N: 0.000 0.756 0.261
N: 0.500 0.749 0.741
Pm: 0.000 0.000 0.000
Pr: 0.500 0.500 0.000

Computed properties:
**Density**: 6.72 g/cm³
**Energy relative to the elements, uncorrected**: -1.507 eV per atom
**Symmetry**: P2/m
**E**: -8.48 eV/atom